No. 1
Here is a relaxed LiTaTe2 crystal from Alexandria. Energies are from GGA-PBE.

Calculated values
D(E_F): 0.11 states/eV per atom
Energy relative to the elements, uncorrected: -332 meV per atom

a b c (Å): 3.4698 3.4698 7.3265
angles (deg): 90.00 90.00 90.00
With the nearest neighbours (Å) after each atom.
Positions (direct):
Li  0.5000  0.5000  0.2500  8 Te 3.17, 4 Li 3.47
Te  0.0000  0.0000  0.9755  4 Ta 2.96, 4 Li 3.17, 1 Te 3.30
Te  0.0000  0.0000  0.5245  4 Ta 2.96, 4 Li 3.17, 1 Te 3.30
Ta  0.5000  0.5000  0.7500  8 Te 2.96

No. 2
Here is a relaxed NbHF3 crystal from Alexandria. Energies are from GGA-PBE.

Calculated values
Energy above the lowest structure with this stoichiometry: 3.700 eV per formula unit
D(E_F): 0.72 states/eV per atom

a b c (Å): 3.6043 3.6043 3.6043
angles (deg): 90.00 90.00 90.00
With the nearest neighbours (Å) after each atom.
Positions (direct):
F  0.0000  0.0000  0.5000  2 H 1.80
F  0.0000  0.5000  0.0000  2 H 1.80
F  0.5000  0.0000  0.0000  2 H 1.80
H  0.0000  0.0000  0.0000  6 F 1.80
Nb  0.5000  0.5000  0.5000  12 F 2.55

No. 3
Here is a relaxed Pm3Nd2ScSe6 crystal from Alexandria. Energies are from GGA-PBE.

Calculated values
D(E_F): 0.52 states/eV per atom
Energy relative to the elements, uncorrected: -1777 meV per atom

a b c (Å): 4.1450 8.3640 9.2810
angles (deg): 102.73 102.90 90.00
With the nearest neighbours (Å) after each atom.
Positions (direct):
Se  0.9972  0.2316  0.9943  2 Sc 2.85, 3 Pm 2.99-3.05, 1 Nd 3.00
Se  0.3428  0.9234  0.6856  1 Sc 2.77, 3 Pm 2.94-3.00, 2 Nd 2.97
Se  0.6572  0.0766  0.3144  1 Sc 2.77, 3 Pm 2.94-3.00, 2 Nd 2.97
Se  0.0028  0.7684  0.0057  2 Sc 2.85, 3 Pm 2.99-3.05, 1 Nd 3.00
Se  0.6652  0.5851  0.3304  3 Pm 2.91-2.93, 3 Nd 2.95-2.96
Se  0.3348  0.4149  0.6696  3 Pm 2.91-2.93, 3 Nd 2.95-2.96
Nd  0.8326  0.6657  0.6652  6 Se 2.95-3.00
Nd  0.1674  0.3343  0.3348  6 Se 2.95-3.00
Pm  0.1723  0.8359  0.3446  6 Se 2.93-3.00
Pm  0.8277  0.1641  0.6554  6 Se 2.93-3.00
Pm  0.5000  0.5000  0.0000  6 Se 2.91-3.05
Sc  0.5000  0.0000  0.0000  6 Se 2.77-2.85

No. 4
Here is a relaxed Sc2ZnTe crystal from Alexandria. Energies are from GGA-PBE.

Calculated values
Energy above the lowest structure with this stoichiometry: 2.433 eV per formula unit
D(E_F): 1.58 states/eV per atom
Energy relative to the elements, uncorrected: -14 meV per atom

a b c (Å): 5.0330 5.0330 5.0330
angles (deg): 60.00 60.00 60.00
With the nearest neighbours (Å) after each atom.
Positions (direct):
Sc  0.2500  0.2500  0.2500  4 Te 3.08, 4 Sc 3.08
Sc  0.0000  0.0000  0.0000  4 Sc 3.08, 4 Zn 3.08
Zn  0.7500  0.7500  0.7500  4 Te 3.08, 4 Sc 3.08
Te  0.5000  0.5000  0.5000  4 Zn 3.08, 4 Sc 3.08

No. 5
Here is a relaxed K3Ag2BiBr9 crystal from Alexandria. Energies are from GGA-PBE.

Calculated values
D(E_F): 0.35 states/eV per atom
Energy relative to the elements, uncorrected: -963 meV per atom

a b c (Å): 7.8588 7.8588 9.8249
angles (deg): 90.00 90.00 120.00
With the nearest neighbours (Å) after each atom.
Positions (direct):
Br  0.5000  0.0000  0.0000  2 Ag 2.74
Br  0.6652  0.8326  0.3255  1 Ag 2.80, 1 Bi 2.85
Br  0.8326  0.6652  0.6745  1 Ag 2.80, 1 Bi 2.85
Br  0.8326  0.1674  0.6745  1 Ag 2.80, 1 Bi 2.85
Br  0.3348  0.1674  0.6745  1 Ag 2.80, 1 Bi 2.85
Br  0.1674  0.8326  0.3255  1 Ag 2.80, 1 Bi 2.85
Br  0.1674  0.3348  0.3255  1 Ag 2.80, 1 Bi 2.85
Br  0.5000  0.5000  0.0000  2 Ag 2.74
Br  0.0000  0.5000  0.0000  2 Ag 2.74
K  0.6667  0.3333  0.2722  3 Br 3.51
K  0.3333  0.6667  0.7278  3 Br 3.51
K  0.0000  0.0000  0.0000  12 Br 3.93
Ag  0.3333  0.6667  0.1567  6 Br 2.74-2.80
Ag  0.6667  0.3333  0.8433  6 Br 2.74-2.80
Bi  0.0000  0.0000  0.5000  6 Br 2.85

No. 6
Here is a relaxed MnCd2Rh crystal from Alexandria. Energies are from GGA-PBE.

Calculated values
Energy above the lowest structure with this stoichiometry: 0.331 eV per formula unit
D(E_F): 0.68 states/eV per atom
DFT formation energy: 0.060 eV/atom

a b c (Å): 3.0324 3.9631 5.7518
angles (deg): 90.00 90.00 90.00
With the nearest neighbours (Å) after each atom.
Positions (direct):
Cd  0.0000  0.0000  0.5054  4 Cd 2.81-3.03, 4 Rh 2.86, 4 Mn 2.90
Cd  0.0000  0.0000  0.9946  4 Cd 2.81-3.03, 4 Rh 2.86, 4 Mn 2.90
Mn  0.5000  0.5000  0.2500  2 Rh 2.88, 8 Cd 2.90, 2 Mn 3.03
Rh  0.5000  0.5000  0.7500  8 Cd 2.86, 2 Mn 2.88, 2 Rh 3.03

No. 7
Here is a relaxed SmCuSnIr crystal from Alexandria. Energies are from GGA-PBE.

Calculated values
D(E_F): 0.57 states/eV per atom
DFT formation energy: -0.380 eV/atom

a b c (Å): 4.7867 4.7867 4.7867
angles (deg): 60.00 60.00 60.00
With the nearest neighbours (Å) after each atom.
Positions (direct):
Sm  0.5000  0.5000  0.5000  4 Ir 2.93, 4 Cu 2.93
Sn  0.0000  0.0000  0.0000  4 Cu 2.93, 4 Ir 2.93
Cu  0.2500  0.2500  0.2500  4 Sm 2.93, 4 Sn 2.93
Ir  0.7500  0.7500  0.7500  4 Sm 2.93, 4 Sn 2.93

No. 8
Here is a relaxed RbLiFeI5 crystal from Alexandria. Energies are from GGA-PBE.

Calculated values
Energy relative to the elements, uncorrected: -748 meV per atom

a b c (Å): 8.7031 8.7031 10.1298
angles (deg): 102.42 102.42 103.84
With the nearest neighbours (Å) after each atom.
Positions (direct):
Fe  0.6728  0.3272  0.2500  4 I 2.56-2.57
Fe  0.3272  0.6728  0.7500  4 I 2.56-2.57
I  0.6014  0.7356  0.9369  1 Fe 2.56
I  0.3371  0.9017  0.6262  1 Fe 2.57
I  0.7356  0.6014  0.4369  1 Fe 2.56
I  0.2644  0.3986  0.5631  1 Fe 2.56
I  0.0983  0.6629  0.8738  1 Fe 2.57
I  0.6629  0.0983  0.3738  1 Fe 2.57
I  0.3986  0.2644  0.0631  1 Fe 2.56
I  0.9335  0.0665  0.7500  2 Li 2.69
I  0.9017  0.3371  0.1262  1 Fe 2.57
I  0.0665  0.9335  0.2500  2 Li 2.69
Rb  0.3335  0.6665  0.2500  7 I 3.66-3.91
Rb  0.6665  0.3335  0.7500  7 I 3.66-3.91
Li  0.0000  0.0000  0.0000  2 I 2.69
Li  0.0000  0.0000  0.5000  2 I 2.69

| no. | energy (eV/atom) | V (Å³ per atom) |
| --- | --- | --- |
| 1 | -5.34 | 22.1 |
| 2 | -4.71 | 9.4 |
| 3 | -6.03 | 25.5 |
| 4 | -4.28 | 22.5 |
| 5 | -2.83 | 35.0 |
| 6 | -4.53 | 17.3 |
| 7 | -5.80 | 19.4 |
| 8 | -3.13 | 43.6 |